The following is a DFT calculation (PBE) of a geometry-optimized GaBi2Pd2 structure.

Summary:
The space group is P4/mbm, No. 127. The calculation puts the density at 10.72 g cm⁻³. The calculation puts the density of states at the Fermi level at 5.7 states/eV per cell. For the total magnetization, the calculation gives 0.00 μB per formula unit.

Unit cell a=6.8680 b=6.8680 c=4.6017 alpha=90.00 beta=90.00 gamma=90.00
Positions (direct):
1 Ga 0.0000 0.0000 0.0000
2 Ga 0.5000 0.5000 0.0000
3 Bi 0.1697 0.3303 0.5000
4 Bi 0.3303 0.8303 0.5000
5 Bi 0.6697 0.1697 0.5000
6 Bi 0.8303 0.6697 0.5000
7 Pd 0.1471 0.6471 0.0000
8 Pd 0.3529 0.1471 0.0000
9 Pd 0.6471 0.8529 0.0000
10 Pd 0.8529 0.3529 0.0000

---

The following is a DFT calculation (PBE) of a geometry-optimized GaBiPd3 structure.

Summary:
The space group is Pm-3m, No. 221. The calculation puts the density at 7.41 g cm⁻³. The calculation puts the density of states at the Fermi level at 3.5 states/eV per cell. For the total magnetization, the calculation gives 0.00 μB per formula unit.

Unit cell a=5.1168 b=5.1168 c=5.1168 alpha=90.00 beta=90.00 gamma=90.00
Positions (direct):
1 Ga 0.0000 0.0000 0.0000
2 Bi 0.5000 0.5000 0.5000
3 Pd 0.0000 0.5000 0.5000
4 Pd 0.5000 0.0000 0.5000
5 Pd 0.5000 0.5000 0.0000

---

Number 1: calculated formation energy -20.8 kJ/mol of atoms. Number 2: calculated formation energy 57.2 kJ/mol of atoms.